No. 1
VASP calculation (PBE-GGA) on an optimized crystal structure of La3Sc5.

Geometry as CIF:
```
data_La3Sc5
_cell_length_a 9.047
_cell_length_b 10.089
_cell_length_c 5.020
_cell_angle_alpha 90.00
_cell_angle_beta 90.00
_cell_angle_gamma 90.00
_space_group_name_H-M_alt 'C m m m'
_space_group_IT_number 65
_space_group_name_Hall '-C 2 2'
loop_
_atom_site_label
_atom_site_type_symbol
_atom_site_fract_x
_atom_site_fract_y
_atom_site_fract_z
La1 La 0.000 0.000 0.000
La2 La 0.000 0.259 0.500
Sc1 Sc 0.000 0.500 0.000
Sc2 Sc 0.247 0.500 0.500
Sc3 Sc 0.250 0.250 0.000
```

## Properties
- Energy above the lowest structure with this stoichiometry: 0.0 meV per atom

No. 2
VASP calculation (PBE-GGA) on an optimized crystal structure of LaSc3.

Geometry as CIF:
```
data_LaSc3
_cell_length_a 5.931
_cell_length_b 10.858
_cell_length_c 6.783
_cell_angle_alpha 90.00
_cell_angle_beta 90.00
_cell_angle_gamma 90.00
_space_group_name_H-M_alt 'P n m a'
_space_group_IT_number 62
loop_
_space_group_symop_operation_xyz
'x,y,z'
'-x,-y,-z'
'-x+1/2,-y,z+1/2'
'x+1/2,y,-z+1/2'
'x+1/2,-y+1/2,-z+1/2'
'-x+1/2,y+1/2,z+1/2'
'-x,y+1/2,-z'
'x,-y+1/2,z'
loop_
_atom_site_label
_atom_site_type_symbol
_atom_site_fract_x
_atom_site_fract_y
_atom_site_fract_z
La1 La 0.075 0.250 0.134
Sc1 Sc 0.086 0.250 0.633
Sc2 Sc 0.244 0.507 0.379
```

Number 1: E_form 0.072 eV per atom, raw total energy -5.7327 eV/atom. Number 2: E_form 0.086 eV per atom, raw total energy -5.8943 eV/atom.